Record 1
Density functional theory data (GGA-PBE) for LiCo2Ni after structural relaxation.

D(E_F) (states/eV per atom): 0.86
E (eV for the cell shown): -21.40
Density (g/cm³): 6.934
Total magnetic moment (μB/f.u.): 3.86

Structure (CIF):
```
data_LiCo2Ni
_space_group_name_H-M_alt 'P 1'
_space_group_IT_number 1
_cell_length_a 4.465
_cell_length_b 4.465
_cell_length_c 4.465
_cell_angle_alpha 134.93
_cell_angle_beta 134.93
_cell_angle_gamma 65.64
loop_
_space_group_symop_operation_xyz
'x,y,z'
loop_
_atom_site_label
_atom_site_type_symbol
_atom_site_fract_x
_atom_site_fract_y
_atom_site_fract_z
Co1 Co 0.000 0.000 0.000
Co2 Co 0.500 0.500 0.000
Li1 Li 0.250 0.750 0.500
Ni1 Ni 0.750 0.250 0.500
```

***

Record 2
Density functional theory data (GGA-PBE) for LiCo2Ni after structural relaxation.

D(E_F) (states/eV per atom): 1.21
E (eV for the cell shown): -21.11
Density (g/cm³): 6.884
Total magnetic moment (μB/f.u.): 3.59

Structure (CIF):
```
data_LiCo2Ni
_space_group_name_H-M_alt 'P 1'
_space_group_IT_number 1
_cell_length_a 4.211
_cell_length_b 4.211
_cell_length_c 2.496
_cell_angle_alpha 90.00
_cell_angle_beta 90.00
_cell_angle_gamma 90.00
loop_
_space_group_symop_operation_xyz
'x,y,z'
loop_
_atom_site_label
_atom_site_type_symbol
_atom_site_fract_x
_atom_site_fract_y
_atom_site_fract_z
Co1 Co 0.000 0.000 0.000
Co2 Co 0.500 0.500 0.000
Li1 Li 0.500 0.000 0.500
Ni1 Ni 0.000 0.500 0.500
```

***

Record 3
Density functional theory data (GGA-PBE) for LiCoNi2 after structural relaxation.

D(E_F) (states/eV per atom): 1.40
E (eV for the cell shown): -20.15
Density (g/cm³): 6.920
Total magnetic moment (μB/f.u.): 2.78

Structure (CIF):
```
data_LiCoNi2
_space_group_name_H-M_alt 'P 1'
_space_group_IT_number 1
_cell_length_a 3.330
_cell_length_b 3.634
_cell_length_c 3.634
_cell_angle_alpha 90.00
_cell_angle_beta 90.00
_cell_angle_gamma 90.00
loop_
_space_group_symop_operation_xyz
'x,y,z'
loop_
_atom_site_label
_atom_site_type_symbol
_atom_site_fract_x
_atom_site_fract_y
_atom_site_fract_z
Co1 Co 0.500 0.500 0.000
Li1 Li 0.500 0.000 0.500
Ni1 Ni 0.000 0.000 0.000
Ni2 Ni 0.000 0.500 0.500
```

***

Record 4
Density functional theory data (GGA-PBE) for LiCo2Ni after structural relaxation.

D(E_F) (states/eV per atom): 1.10
E (eV for the cell shown): -21.50
Density (g/cm³): 6.865
Total magnetic moment (μB/f.u.): 3.75

Structure (CIF):
```
data_LiCo2Ni
_space_group_name_H-M_alt 'P 1'
_space_group_IT_number 1
_cell_length_a 4.845
_cell_length_b 4.845
_cell_length_c 4.845
_cell_angle_alpha 148.88
_cell_angle_beta 130.43
_cell_angle_gamma 59.70
loop_
_space_group_symop_operation_xyz
'x,y,z'
loop_
_atom_site_label
_atom_site_type_symbol
_atom_site_fract_x
_atom_site_fract_y
_atom_site_fract_z
Co1 Co 0.008 0.008 0.000
Co2 Co 0.492 0.492 0.000
Li1 Li 0.750 0.250 0.500
Ni1 Ni 0.250 0.750 0.500
```